## Mg2AlVF (GGA+U)

Data for a relaxed Mg2AlVF crystal.

Computed properties:
**Raw total energy**: -3.18 eV per atom
**Volume**: 114.1 Å³ per cell

a = 5.5690 Å, b = 5.5690 Å, c = 3.6778 Å
α = 90.00°, β = 90.00°, γ = 90.00°
Closest atoms and distances in Å follow each position.
Space group P4/mmm (No. 123)
One atom of each set of equivalent atoms:
Mg 0.0000 0.5000 0.0000 (multiplicity 2)  2 Al 2.78
Al 0.0000 0.0000 0.0000 (multiplicity 1)  2 F 1.84
V 0.5000 0.5000 0.5000 (multiplicity 1)  8 Mg 3.34, 2 V 3.68
F 0.0000 0.0000 0.5000 (multiplicity 1)  2 Al 1.84